(1)
DFT (PBE) results for a geometry-optimized YAl2Hg structure.

Cell lengths 4.402, 4.402, 4.316 Å; angles 90.00, 90.00, 90.00 degrees
Space group P4/mmm (No. 123)
Inequivalent atoms, fractional coordinates:
Y: 0.000 0.000 0.000 (multiplicity 1)
Al: 0.000 0.500 0.500 (multiplicity 2)
Hg: 0.500 0.500 0.000 (multiplicity 1)

Results
calculated volume	20.91	Å³ per atom
calculated total energy	-3.911	eV per atom
mass density	6.82	g/cm3
Fermi-level density of states	0.3795	states/eV per atom

(2)
DFT (PBE) results for a geometry-optimized YAlHg structure.

Cell lengths 10.824, 4.275, 6.004 Å; angles 90.00, 91.92, 90.00 degrees
Space group Cm (No. 8)
Inequivalent atoms, fractional coordinates:
Y: 0.000 0.000 0.000 (multiplicity 2)
Y: 0.115 0.500 0.494 (multiplicity 2)
Al: 0.316 0.000 0.252 (multiplicity 2)
Al: 0.415 0.500 0.484 (multiplicity 2)
Hg: 0.199 0.500 0.007 (multiplicity 2)
Hg: 0.325 0.000 0.734 (multiplicity 2)

Results
calculated volume	23.14	Å³ per atom
calculated total energy	-3.893	eV per atom
mass density	7.57	g/cm3
Fermi-level density of states	0.7235	states/eV per atom

(3)
DFT (PBE) results for a geometry-optimized YAl2Hg2 structure.

Cell lengths 8.038, 8.038, 3.456 Å; angles 90.00, 90.00, 90.00 degrees
Space group P4/mbm (No. 127)
Inequivalent atoms, fractional coordinates:
Y: 0.000 0.000 0.000 (multiplicity 2)
Al: 0.173 0.327 0.500 (multiplicity 4)
Hg: 0.131 0.631 0.000 (multiplicity 4)

Results
calculated volume	22.33	Å³ per atom
calculated total energy	-2.986	eV per atom
mass density	8.09	g/cm3
Fermi-level density of states	0.5770	states/eV per atom

(4)
DFT (PBE) results for a geometry-optimized YAlHg structure.

Cell lengths 4.190, 6.006, 6.659 Å; angles 116.26, 108.29, 90.09 degrees
Space group P1 (No. 1)
Inequivalent atoms, fractional coordinates:
Y: 0.000 0.000 0.000 (multiplicity 1)
Y: 0.375 0.399 0.749 (multiplicity 1)
Al: 0.310 0.830 0.619 (multiplicity 1)
Al: 0.705 0.485 0.410 (multiplicity 1)
Hg: 0.068 0.558 0.136 (multiplicity 1)
Hg: 0.702 0.996 0.403 (multiplicity 1)

Results
calculated volume	23.46	Å³ per atom
calculated total energy	-3.870	eV per atom
mass density	7.47	g/cm3
Fermi-level density of states	0.4521	states/eV per atom

(5)
DFT (PBE) results for a geometry-optimized YAlHg structure.

Cell lengths 14.031, 4.542, 4.287 Å; angles 90.00, 90.14, 90.00 degrees
Space group C2/m (No. 12)
Inequivalent atoms, fractional coordinates:
Y: 0.154 0.000 0.001 (multiplicity 4)
Al: 0.000 0.000 0.500 (multiplicity 2)
Al: 0.000 0.500 0.000 (multiplicity 2)
Hg: 0.152 0.500 0.501 (multiplicity 4)

Results
calculated volume	22.77	Å³ per atom
calculated total energy	-3.872	eV per atom
mass density	7.69	g/cm3
Fermi-level density of states	0.7178	states/eV per atom

(6)
DFT (PBE) results for a geometry-optimized Y2AlHg2 structure.

Cell lengths 7.394, 7.394, 4.531 Å; angles 90.00, 90.00, 90.00 degrees
Space group P4/mbm (No. 127)
Inequivalent atoms, fractional coordinates:
Y: 0.168 0.332 0.000 (multiplicity 4)
Al: 0.000 0.000 0.500 (multiplicity 2)
Hg: 0.139 0.639 0.500 (multiplicity 4)

Results
calculated volume	24.77	Å³ per atom
calculated total energy	-3.856	eV per atom
mass density	8.12	g/cm3
Fermi-level density of states	0.7030	states/eV per atom

(7)
DFT (PBE) results for a geometry-optimized YAl2Hg structure.

Cell lengths 3.3135, 3.3135, 28.6946 Å; angles 90.00, 90.00, 120.00 degrees
Space group R-3m (No. 166, hexagonal axes)
Inequivalent atoms, fractional coordinates:
Y: 0.0000 0.0000 0.0000 (multiplicity 3)
Al: 0.0000 0.0000 0.2448 (multiplicity 6)
Hg: 0.0000 0.0000 0.5000 (multiplicity 3)

Results
calculated volume	22.74	Å³ per atom
calculated total energy	-3.513	eV per atom
mass density	6.27	g/cm3
Fermi-level density of states	0.7043	states/eV per atom

(8)
DFT (PBE) results for a geometry-optimized Y3AlHg2 structure.

Cell lengths 5.205, 15.667, 3.711 Å; angles 90.00, 90.00, 90.00 degrees
Space group Cmmm (No. 65)
Inequivalent atoms, fractional coordinates:
Y: 0.000 0.000 0.000 (multiplicity 2)
Y: 0.000 0.336 0.000 (multiplicity 4)
Al: 0.000 0.500 0.500 (multiplicity 2)
Hg: 0.000 0.164 0.500 (multiplicity 4)

Results
calculated volume	25.21	Å³ per atom
calculated total energy	-4.426	eV per atom
mass density	7.63	g/cm3
Fermi-level density of states	0.7740	states/eV per atom

Copy entry 3 word for word.
DFT (PBE) results for a geometry-optimized YAl2Hg2 structure.

Cell lengths 8.038, 8.038, 3.456 Å; angles 90.00, 90.00, 90.00 degrees
Space group P4/mbm (No. 127)
Inequivalent atoms, fractional coordinates:
Y: 0.000 0.000 0.000 (multiplicity 2)
Al: 0.173 0.327 0.500 (multiplicity 4)
Hg: 0.131 0.631 0.000 (multiplicity 4)

Results
calculated volume	22.33	Å³ per atom
calculated total energy	-2.986	eV per atom
mass density	8.09	g/cm3
Fermi-level density of states	0.5770	states/eV per atom

Which of these has the highest calculated total energy?
YAl2Hg2

Number 5 is which compound?
YAlHg